Entry from Alexandria: a PBEsol-optimized structure of TlCrRu2 (SCAN).

## Properties
DFT formation energy (meV/atom): 449
Space-group type: I-4m2
Total energy (Ry per atom): -2.91420
Energy relative to the lowest polymorph listed for this composition (eV/atom): 0.000

abc: 3.807 3.807 4.910
angles: 112.81 112.81 90.00
Sites, in units of the cell vectors:
Cr  0.250  0.750  0.500
Ru  0.000  0.000  0.000
Ru  0.750  0.250  0.500
Tl  0.500  0.500  0.000